Material: MgSi2W
Method: DFT, SCAN
State: single point on PBEsol structure

The structure in POSCAR format:
```
MgSi2W
1.0
-0.499 2.883 -1.381
-2.147 -1.338 -2.017
-4.299 1.099 3.848
Mg W Si
1 1 2
direct
0.500 0.500 0.500 Mg
0.500 0.500 0.000 W
0.000 0.000 0.785 Si
0.000 0.000 0.215 Si
```

Summary:
* space group: P4/mmm, No. 123
* total magnetic moment: 0.0 μB/f.u.
* VASP energy: -23.56 eV per atom